# 1
PmZrSb2 (PBE, optimized geometry); offset from the most stable computed form = 262 meV/atom; space group = Fm-3m (225); energy relative to the elements, uncorrected = -0.616 eV/atom
1.0
5.270 0.000 0.000
2.635 4.564 0.000
2.635 1.521 4.303
Sb Zr Pm
2 1 1
direct
0.250 0.250 0.250 Sb
0.750 0.750 0.750 Sb
0.500 0.500 0.500 Zr
0.000 0.000 0.000 Pm

=====

# 2
PmZrSb2 (PBE, optimized geometry); offset from the most stable computed form = 62 meV/atom; space group = R3m (160); energy relative to the elements, uncorrected = -0.816 eV/atom
1.0
4.212 0.000 0.000
2.106 3.648 0.000
2.106 1.216 7.456
Pm Zr Sb
1 1 2
direct
0.670 0.670 0.990 Pm
0.497 0.497 0.508 Zr
0.089 0.089 0.733 Sb
0.244 0.244 0.269 Sb

=====

# 3
Pm4ZrSb5 (PBE, optimized geometry); space group = I4/mmm (139); energy relative to the elements, uncorrected = -1.032 eV/atom
1.0
4.426 0.000 0.000
0.000 4.426 0.000
-2.213 -2.213 15.578
Pm Zr Sb
4 1 5
direct
0.401 0.401 0.802 Pm
0.802 0.802 0.604 Pm
0.198 0.198 0.396 Pm
0.599 0.599 0.198 Pm
0.000 0.000 0.000 Zr
0.095 0.095 0.190 Sb
0.500 0.500 0.000 Sb
0.905 0.905 0.810 Sb
0.300 0.300 0.600 Sb
0.700 0.700 0.400 Sb

=====

# 4
PmSc2 (PBE, optimized geometry); offset from the most stable computed form = 0 meV/atom; space group = C2/m (12); energy of formation from the pure elements = 73 meV per atom
1.0
5.371 -0.001 -0.297
2.681 4.658 -0.246
0.187 0.071 3.293
Pm Sc
1 2
direct
0.780 0.327 0.237 Pm
0.447 0.994 0.738 Sc
0.114 0.660 0.736 Sc

=====

# 5
PmSc4 (PBE, optimized geometry); offset from the most stable computed form = 743 meV/atom; space group = Pm-3m (221); energy of formation from the pure elements = 804 meV per atom
1.0
5.198 0.000 0.000
0.000 5.198 0.000
0.000 0.000 5.198
Sc Pm
4 1
direct
0.000 0.000 0.000 Sc
0.500 0.000 0.500 Sc
0.000 0.500 0.500 Sc
0.500 0.500 0.000 Sc
0.500 0.500 0.500 Pm

=====

# 6
Pm13Sc3 (PBE, optimized geometry); space group = Amm2 (38); energy of formation from the pure elements = 38 meV per atom
1.0
-5.444 3.047 -3.493
-0.859 -5.975 -3.832
-6.434 -3.530 6.947
Pm Sc
13 3
direct
0.997 0.496 0.754 Pm
0.502 0.498 0.753 Pm
0.504 0.003 0.754 Pm
0.243 0.245 0.000 Pm
0.755 0.757 0.000 Pm
0.245 0.755 0.000 Pm
0.997 0.496 0.246 Pm
0.502 0.498 0.247 Pm
0.504 0.003 0.246 Pm
0.755 0.245 0.500 Pm
0.245 0.245 0.500 Pm
0.755 0.755 0.500 Pm
0.246 0.754 0.500 Pm
0.996 0.004 0.754 Sc
0.757 0.243 0.000 Sc
0.996 0.004 0.246 Sc